PBE-GGA Hf2MgPdN, optimized geometry; VASP energy = -7.815 eV per atom; formation energy without anion corrections = -810.8 meV per atom; SG = P4/mmm, No. 123
1.0
4.383 0.000 0.000
0.000 4.383 0.000
0.000 0.000 4.209
Hf Mg Pd N
2 1 1 1
Direct
0.000 0.500 0.000
0.500 0.000 0.000
0.000 0.000 0.500
0.500 0.500 0.500
0.000 0.000 0.000